TcPbCl2 after structural relaxation. Source: Alexandria, functional GGA-PBEsol. Values from VASP.

Geometry as Quantum ESPRESSO input:
```
&SYSTEM
  ibrav = 0, nat = 4, ntyp = 3
/
ATOMIC_SPECIES
Tc 98.00 Tc.upf
Pb 207.20 Pb.upf
Cl 35.45 Cl.upf
ATOMIC_POSITIONS crystal
Tc 0.000 0.000 0.000
Pb 0.723 0.723 0.997
Cl 0.380 0.380 0.678
Cl 0.556 0.556 0.324
CELL_PARAMETERS angstrom
5.119 -1.578 0.000
5.119 1.578 0.000
-2.701 0.000 5.547
```

Formation energy from raw total energies, eV/atom: -0.16
Energy, eV per atom: -4.9836
Symmetry: No. 8